Arrangement 1

{"formula": "NaSrCl3", "functional": "GGA-PBE", "state": "optimized geometry", "dos_at_fermi_per_ev_cell": 0.00, "spacegroup": "No. 221", "magmom_total_mub_per_cell": 0.00, "lattice_angstrom": [[5.084, 0.000, 0.000], [0.000, 5.084, 0.000], [0.000, 0.000, 5.084]], "species": ["Sr", "Na", "Cl", "Cl", "Cl"], "fractional_positions": [[0.500, 0.500, 0.500], [0.000, 0.000, 0.000], [0.000, 0.000, 0.500], [0.000, 0.500, 0.000], [0.500, 0.000, 0.000]]}

Arrangement 2

{"formula": "NaSrCl3", "functional": "GGA-PBE", "state": "optimized geometry", "dos_at_fermi_per_ev_cell": 0.00, "spacegroup": "No. 6", "magmom_total_mub_per_cell": 0.00, "lattice_angstrom": [[-0.645, 3.753, 0.606], [-6.570, -1.666, 3.320], [-0.249, -1.247, 7.451]], "species": ["Na", "Cl", "Cl", "Sr", "Cl"], "fractional_positions": [[0.220, 0.433, 0.396], [0.720, 0.766, 0.226], [0.720, 0.264, 0.232], [0.220, 0.100, 0.062], [0.720, 0.269, 0.729]]}

Arrangement 3

{"formula": "NaSrCl3", "functional": "GGA-PBE", "state": "optimized geometry", "dos_at_fermi_per_ev_cell": 0.00, "spacegroup": "No. 221", "magmom_total_mub_per_cell": 0.00, "lattice_angstrom": [[5.661, 0.000, 0.000], [0.000, 5.661, 0.000], [0.000, 0.000, 5.661]], "species": ["Cl", "Sr", "Na", "Cl", "Cl"], "fractional_positions": [[0.500, 0.000, 0.000], [0.000, 0.000, 0.000], [0.500, 0.500, 0.500], [0.000, 0.500, 0.000], [0.000, 0.000, 0.500]]}

Stability, lowest: arrangement 1

Arrangement 1

{"formula": "NaTa3Cl", "functional": "GGA-PBE", "state": "optimized geometry", "dos_at_fermi_per_ev_cell": 3.59, "spacegroup": "No. 221", "magmom_total_mub_per_cell": 0.00, "lattice_angstrom": [[-4.633, 0.470, -1.092], [-0.675, -4.657, 0.856], [-0.979, 0.983, 4.578]], "species": ["Ta", "Cl", "Ta", "Ta", "Na"], "fractional_positions": [[0.500, 0.000, 0.000], [0.500, 0.500, 0.500], [0.000, 0.500, 0.000], [0.000, 0.000, 0.500], [0.000, 0.000, 0.000]]}

Arrangement 2

{"formula": "NaTa3Cl", "functional": "GGA-PBE", "state": "optimized geometry", "dos_at_fermi_per_ev_cell": 7.62, "spacegroup": "No. 221", "magmom_total_mub_per_cell": 0.00, "lattice_angstrom": [[-1.467, -4.366, 0.404], [3.228, -0.787, 3.214], [-2.966, 1.302, 3.298]], "species": ["Ta", "Na", "Cl", "Ta", "Ta"], "fractional_positions": [[0.000, 0.500, 0.000], [0.500, 0.500, 0.500], [0.000, 0.000, 0.000], [0.500, 0.000, 0.000], [0.000, 0.000, 0.500]]}

Stability, lowest: arrangement 1

Arrangement 1

{"formula": "NaTa2Cl", "functional": "GGA-PBE", "state": "optimized geometry", "dos_at_fermi_per_ev_cell": 7.82, "spacegroup": "No. 122", "magmom_total_mub_per_cell": 0.00, "lattice_angstrom": [[-3.027, 2.058, -0.806], [-2.210, -2.844, 1.038], [-2.765, 4.200, 12.388]], "species": ["Cl", "Cl", "Ta", "Ta", "Na", "Ta", "Ta", "Na"], "fractional_positions": [[0.750, 0.250, 0.500], [0.000, 0.000, 0.000], [0.875, 0.874, 0.750], [0.375, 0.376, 0.750], [0.250, 0.750, 0.500], [0.126, 0.625, 0.250], [0.624, 0.125, 0.250], [0.500, 0.500, 0.000]]}

Arrangement 2

{"formula": "NaTa2Cl", "functional": "GGA-PBE", "state": "optimized geometry", "dos_at_fermi_per_ev_cell": 6.06, "spacegroup": "No. 225", "magmom_total_mub_per_cell": 0.00, "lattice_angstrom": [[-0.724, 1.450, 4.420], [-2.504, 3.903, 0.817], [-4.293, -0.313, 1.907]], "species": ["Cl", "Ta", "Ta", "Na"], "fractional_positions": [[0.500, 0.500, 0.500], [0.750, 0.750, 0.750], [0.250, 0.250, 0.250], [0.000, 0.000, 0.000]]}

Stability, lowest: arrangement 2

Arrangement 1

{"formula": "Na2TaCl6", "functional": "GGA-PBE", "state": "optimized geometry", "dos_at_fermi_per_ev_cell": 10.93, "spacegroup": "No. 14", "magmom_total_mub_per_cell": 2.00, "lattice_angstrom": [[-1.510, 5.985, 2.790], [0.556, -2.876, 6.470], [9.820, 1.684, -0.096]], "species": ["Cl", "Cl", "Ta", "Cl", "Na", "Cl", "Cl", "Cl", "Na", "Cl", "Ta", "Na", "Cl", "Na", "Cl", "Cl", "Cl", "Cl"], "fractional_positions": [[0.150, 0.050, 0.726], [0.345, 0.783, 0.074], [0.000, 0.000, 0.500], [0.288, 0.818, 0.441], [0.538, 0.899, 0.720], [0.712, 0.182, 0.559], [0.788, 0.682, 0.941], [0.845, 0.717, 0.574], [0.038, 0.601, 0.220], [0.350, 0.550, 0.774], [0.500, 0.500, 0.000], [0.962, 0.399, 0.780], [0.212, 0.318, 0.059], [0.462, 0.101, 0.280], [0.155, 0.283, 0.426], [0.655, 0.217, 0.926], [0.850, 0.950, 0.274], [0.650, 0.450, 0.226]]}

Arrangement 2

{"formula": "Na2TaCl6", "functional": "GGA-PBE", "state": "optimized geometry", "dos_at_fermi_per_ev_cell": 10.48, "spacegroup": "No. 136", "magmom_total_mub_per_cell": 2.00, "lattice_angstrom": [[6.363, 0.000, 0.000], [0.000, 6.363, 0.000], [0.000, 0.000, 12.135]], "species": ["Cl", "Na", "Cl", "Cl", "Na", "Cl", "Cl", "Cl", "Cl", "Na", "Cl", "Cl", "Cl", "Ta", "Ta", "Cl", "Na", "Cl"], "fractional_positions": [[0.767, 0.233, 0.500], [0.500, 0.500, 0.169], [0.187, 0.813, 0.145], [0.813, 0.187, 0.855], [0.500, 0.500, 0.831], [0.187, 0.813, 0.855], [0.313, 0.313, 0.645], [0.313, 0.313, 0.355], [0.813, 0.187, 0.145], [0.000, 0.000, 0.669], [0.233, 0.767, 0.500], [0.267, 0.267, 0.000], [0.687, 0.687, 0.355], [0.000, 0.000, 0.000], [0.500, 0.500, 0.500], [0.733, 0.733, 0.000], [0.000, 0.000, 0.331], [0.687, 0.687, 0.645]]}

Stability, lowest: arrangement 2

Arrangement 1

{"formula": "Na2Tb2Cl7", "functional": "GGA-PBE", "state": "optimized geometry", "dos_at_fermi_per_ev_cell": 1.65, "spacegroup": "No. 12", "magmom_total_mub_per_cell": 0.87, "lattice_angstrom": [[-3.472, 5.807, 0.398], [-3.439, -1.141, -6.125], [-6.131, -3.275, 1.524]], "species": ["Cl", "Cl", "Cl", "Cl", "Tb", "Cl", "Na", "Tb", "Na", "Cl", "Cl"], "fractional_positions": [[0.743, 0.581, 0.581], [0.257, 0.419, 0.419], [0.000, 0.000, 0.000], [0.766, 0.504, 0.092], [0.932, 0.768, 0.768], [0.234, 0.908, 0.496], [0.500, 0.737, 0.263], [0.068, 0.232, 0.232], [0.500, 0.263, 0.737], [0.766, 0.092, 0.504], [0.234, 0.496, 0.908]]}

Arrangement 2

{"formula": "Na2Tb2Cl7", "functional": "GGA-PBE", "state": "optimized geometry", "dos_at_fermi_per_ev_cell": 0.24, "spacegroup": "No. 12", "magmom_total_mub_per_cell": 0.97, "lattice_angstrom": [[7.318, 0.102, 0.148], [-0.690, 7.354, -0.157], [-0.690, -2.730, 6.831]], "species": ["Cl", "Cl", "Cl", "Tb", "Na", "Cl", "Cl", "Cl", "Tb", "Cl", "Na"], "fractional_positions": [[0.724, 0.432, 0.062], [0.256, 0.412, 0.412], [0.744, 0.588, 0.588], [0.892, 0.296, 0.296], [0.500, 0.697, 0.303], [0.000, 0.000, 0.000], [0.276, 0.938, 0.568], [0.724, 0.062, 0.432], [0.108, 0.704, 0.704], [0.276, 0.568, 0.938], [0.500, 0.303, 0.697]]}

Stability, lowest: arrangement 1

Arrangement 1

{"formula": "NaTc3Cl", "functional": "GGA-PBE", "state": "optimized geometry", "dos_at_fermi_per_ev_cell": 4.02, "spacegroup": "No. 221", "magmom_total_mub_per_cell": 1.97, "lattice_angstrom": [[-4.378, -0.414, 0.473], [0.563, -1.105, 4.246], [-0.280, 4.263, 1.146]], "species": ["Tc", "Tc", "Tc", "Na", "Cl"], "fractional_positions": [[0.000, 0.000, 0.500], [0.500, 0.000, 0.000], [0.000, 0.500, 0.000], [0.500, 0.500, 0.500], [0.000, 0.000, 0.000]]}

Arrangement 2

{"formula": "NaTc3Cl", "functional": "GGA-PBE", "state": "optimized geometry", "dos_at_fermi_per_ev_cell": 5.77, "spacegroup": "No. 221", "magmom_total_mub_per_cell": 11.22, "lattice_angstrom": [[-4.845, -0.658, -1.102], [1.165, -0.446, -4.855], [0.539, -4.949, 0.584]], "species": ["Cl", "Tc", "Na", "Tc", "Tc"], "fractional_positions": [[0.500, 0.500, 0.500], [0.000, 0.500, 0.000], [0.000, 0.000, 0.000], [0.500, 0.000, 0.000], [0.000, 0.000, 0.500]]}

Stability, lowest: arrangement 2

Arrangement 1

{"formula": "NaTcCl3", "functional": "GGA-PBE", "state": "optimized geometry", "dos_at_fermi_per_ev_cell": 2.67, "spacegroup": "No. 221", "magmom_total_mub_per_cell": 2.87, "lattice_angstrom": [[-4.026, -0.887, -2.772], [2.905, -1.533, -3.728], [-0.190, -4.642, 1.761]], "species": ["Cl", "Cl", "Tc", "Cl", "Na"], "fractional_positions": [[0.500, 0.000, 0.000], [0.000, 0.500, 0.000], [0.000, 0.000, 0.000], [0.000, 0.000, 0.500], [0.500, 0.500, 0.500]]}

Arrangement 2

{"formula": "NaTcCl3", "functional": "GGA-PBE", "state": "optimized geometry", "spacegroup": "No. 2", "magmom_total_mub_per_cell": 0.00, "lattice_angstrom": [[-2.237, 2.845, 0.418], [-1.681, -3.099, 7.968], [4.195, 2.228, 6.357]], "species": ["Cl", "Cl", "Cl", "Cl", "Tc", "Na", "Tc", "Cl", "Cl", "Na"], "fractional_positions": [[0.184, 0.807, 0.612], [0.226, 0.352, 0.428], [0.731, 0.494, 0.993], [0.771, 0.039, 0.809], [0.775, 0.525, 0.681], [0.242, 0.742, 0.018], [0.182, 0.321, 0.740], [0.750, 0.693, 0.337], [0.206, 0.153, 0.085], [0.713, 0.104, 0.403]]}

Stability, lowest: arrangement 1

Arrangement 1

{"formula": "Na2TcCl6", "functional": "GGA-PBE", "state": "optimized geometry", "spacegroup": "No. 14", "magmom_total_mub_per_cell": 6.00, "lattice_angstrom": [[-5.979, 0.813, -2.862], [-2.897, -4.188, 4.863], [-1.277, 7.728, 5.893]], "species": ["Cl", "Cl", "Cl", "Cl", "Cl", "Na", "Na", "Tc", "Cl", "Cl", "Na", "Cl", "Cl", "Tc", "Na", "Cl", "Cl", "Cl"], "fractional_positions": [[0.334, 0.781, 0.068], [0.714, 0.183, 0.554], [0.632, 0.456, 0.227], [0.786, 0.683, 0.946], [0.132, 0.044, 0.727], [0.964, 0.411, 0.768], [0.536, 0.911, 0.732], [0.500, 0.500, 0.000], [0.834, 0.719, 0.568], [0.368, 0.544, 0.773], [0.464, 0.089, 0.268], [0.868, 0.956, 0.273], [0.166, 0.281, 0.432], [0.000, 0.000, 0.500], [0.036, 0.589, 0.232], [0.286, 0.817, 0.446], [0.214, 0.317, 0.054], [0.666, 0.219, 0.932]]}

Arrangement 2

{"formula": "Na2TcCl6", "functional": "GGA-PBE", "state": "optimized geometry", "spacegroup": "No. 136", "magmom_total_mub_per_cell": 6.00, "lattice_angstrom": [[-4.939, -2.676, 2.917], [1.069, -5.393, -3.137], [7.210, -3.698, 8.814]], "species": ["Na", "Cl", "Cl", "Cl", "Cl", "Na", "Tc", "Cl", "Na", "Cl", "Cl", "Cl", "Na", "Cl", "Cl", "Cl", "Tc", "Cl"], "fractional_positions": [[0.500, 0.500, 0.834], [0.684, 0.684, 0.357], [0.234, 0.766, 0.500], [0.184, 0.816, 0.857], [0.316, 0.316, 0.357], [0.000, 0.000, 0.666], [0.000, 0.000, 0.000], [0.816, 0.184, 0.143], [0.500, 0.500, 0.166], [0.316, 0.316, 0.643], [0.816, 0.184, 0.857], [0.266, 0.266, 0.000], [0.000, 0.000, 0.334], [0.184, 0.816, 0.143], [0.734, 0.734, 0.000], [0.684, 0.684, 0.643], [0.500, 0.500, 0.500], [0.766, 0.234, 0.500]]}

Stability, lowest: arrangement 2

Arrangement 1

{"formula": "NaTc2Cl8", "functional": "GGA-PBE", "state": "optimized geometry", "dos_at_fermi_per_ev_cell": 1.05, "spacegroup": "No. 2", "magmom_total_mub_per_cell": 7.02, "lattice_angstrom": [[-0.982, 0.185, 5.139], [-4.189, -7.605, -0.458], [8.321, 0.004, 1.506]], "species": ["Cl", "Tc", "Cl", "Cl", "Cl", "Na", "Cl", "Cl", "Cl", "Tc", "Cl"], "fractional_positions": [[0.246, 0.852, 0.425], [0.250, 0.187, 0.595], [0.260, 0.187, 0.318], [0.740, 0.813, 0.682], [0.732, 0.819, 0.132], [0.000, 0.000, 0.000], [0.249, 0.484, 0.745], [0.751, 0.516, 0.255], [0.268, 0.181, 0.868], [0.750, 0.813, 0.405], [0.754, 0.148, 0.575]]}

Arrangement 2

{"formula": "NaTc2Cl8", "functional": "GGA-PBE", "state": "optimized geometry", "dos_at_fermi_per_ev_cell": 12.33, "spacegroup": "No. 12", "magmom_total_mub_per_cell": 1.09, "lattice_angstrom": [[6.565, 0.392, 0.297], [0.550, 8.054, 0.220], [0.550, 2.380, 7.697]], "species": ["Cl", "Cl", "Tc", "Cl", "Cl", "Tc", "Na", "Cl", "Cl", "Cl", "Cl"], "fractional_positions": [[0.190, 0.364, 0.364], [0.775, 0.702, 0.071], [0.664, 0.800, 0.800], [0.225, 0.298, 0.929], [0.810, 0.636, 0.636], [0.336, 0.200, 0.200], [0.000, 0.000, 0.000], [0.225, 0.929, 0.298], [0.320, 0.817, 0.817], [0.680, 0.183, 0.183], [0.775, 0.071, 0.702]]}

Stability, lowest: arrangement 2

Arrangement 1

{"formula": "NaTcCl4", "functional": "GGA-PBE", "state": "optimized geometry", "spacegroup": "No. 82", "magmom_total_mub_per_cell": 4.00, "lattice_angstrom": [[7.162, 0.000, 0.000], [0.000, 7.162, 0.000], [-3.581, -3.581, 3.818]], "species": ["Cl", "Cl", "Cl", "Tc", "Na", "Cl"], "fractional_positions": [[0.757, 0.302, 0.099], [0.698, 0.658, 0.901], [0.203, 0.243, 0.901], [0.500, 0.500, 0.000], [0.750, 0.250, 0.500], [0.342, 0.797, 0.099]]}

Arrangement 2

{"formula": "NaTcCl4", "functional": "GGA-PBE", "state": "optimized geometry", "dos_at_fermi_per_ev_cell": 0.07, "spacegroup": "No. 2", "magmom_total_mub_per_cell": 0.00, "lattice_angstrom": [[-2.130, 5.861, -5.021], [-4.398, -6.011, 1.264], [0.696, 4.244, 6.961]], "species": ["Cl", "Na", "Tc", "Tc", "Cl", "Cl", "Na", "Cl", "Cl", "Cl", "Cl", "Cl"], "fractional_positions": [[0.346, 0.011, 0.171], [0.503, 0.251, 0.955], [0.989, 0.843, 0.971], [0.011, 0.157, 0.029], [0.375, 0.482, 0.248], [0.113, 0.257, 0.801], [0.497, 0.749, 0.045], [0.917, 0.219, 0.282], [0.625, 0.518, 0.752], [0.654, 0.989, 0.829], [0.887, 0.743, 0.199], [0.083, 0.781, 0.718]]}

Stability, lowest: arrangement 1

Arrangement 1

{"formula": "NaTc2Cl", "functional": "GGA-PBE", "state": "optimized geometry", "dos_at_fermi_per_ev_cell": 4.88, "spacegroup": "No. 225", "magmom_total_mub_per_cell": 0.00, "lattice_angstrom": [[-1.286, -2.651, 3.311], [-1.534, 1.750, 3.772], [-4.300, -0.349, 1.017]], "species": ["Tc", "Na", "Tc", "Cl"], "fractional_positions": [[0.250, 0.250, 0.250], [0.000, 0.000, 0.000], [0.750, 0.750, 0.750], [0.500, 0.500, 0.500]]}

Arrangement 2

{"formula": "NaTc2Cl", "functional": "GGA-PBE", "state": "optimized geometry", "dos_at_fermi_per_ev_cell": 8.99, "spacegroup": "No. 122", "magmom_total_mub_per_cell": 0.00, "lattice_angstrom": [[-1.407, -7.438, 2.056], [1.848, -2.354, -7.251], [2.439, -5.138, -1.954]], "species": ["Tc", "Tc", "Tc", "Na", "Cl", "Tc", "Cl", "Na"], "fractional_positions": [[0.694, 0.125, 0.250], [0.375, 0.306, 0.750], [0.875, 0.944, 0.750], [0.500, 0.500, 0.000], [0.000, 0.000, 0.000], [0.056, 0.625, 0.250], [0.750, 0.250, 0.500], [0.250, 0.750, 0.500]]}

Stability, lowest: arrangement 1